A geometry-optimized DyCdNi structure. Source: the Alexandria database, functional PBE.

Lattice parameters (Å, degrees): 5.2580 5.2081 5.7179 76.58 62.63 59.68
Positions (direct):
Ni 0.7500 0.5000 0.5000
Ni 0.2500 0.5000 0.5000
Cd 0.8351 0.3299 0.0000
Cd 0.1649 0.6701 0.0000
Dy 0.6570 0.0000 0.6860
Dy 0.3430 0.0000 0.3140

VASP energy = -3.97 eV per atom
space-group type = Fmmm, No. 69

***

A geometry-optimized Dy8CdNi2 structure. Source: the Alexandria database, functional PBE.

Lattice parameters (Å, degrees): 5.3817 7.8955 7.8955 114.81 97.39 97.39
Positions (direct):
Dy 0.9228 0.9246 0.6673
Dy 0.9228 0.6673 0.9246
Dy 0.3043 0.6106 0.6106
Dy 0.5000 0.7519 0.2481
Dy 0.5000 0.2481 0.7519
Dy 0.6957 0.3894 0.3894
Dy 0.0772 0.3327 0.0754
Dy 0.0772 0.0754 0.3327
Cd 0.5000 0.0000 0.0000
Ni 0.0000 0.3046 0.6954
Ni 0.0000 0.6954 0.3046

VASP energy = -4.61 eV per atom
space-group type = C2/m, No. 12

***

A geometry-optimized Dy2Cd3Ni2 structure. Source: the Alexandria database, functional PBE.

Lattice parameters (Å, degrees): 3.9125 5.3889 7.4160 96.27 90.00 111.29
Positions (direct):
Dy 0.6240 0.2479 0.3604
Dy 0.3760 0.7521 0.6396
Cd 0.3108 0.6216 0.1446
Cd 0.0000 0.0000 0.0000
Cd 0.6892 0.3784 0.8554
Ni 0.0821 0.1642 0.6330
Ni 0.9179 0.8358 0.3670

relative energy among the computed polymorphs = 30 meV per atom
space-group type = C2/m, No. 12

***

A geometry-optimized DyCdNi structure. Source: the Alexandria database, functional PBE.

Lattice parameters (Å, degrees): 3.4071 3.4071 5.7426 107.26 107.26 90.00
Positions (direct):
Ni 0.2826 0.2826 0.5652
Dy 0.9287 0.9287 0.8574
Cd 0.6387 0.6387 0.2775

VASP energy = -4.01 eV per atom
space-group type = I4mm, No. 107

***

A geometry-optimized DyCd11Ni structure. Source: the Alexandria database, functional PBE.

Lattice parameters (Å, degrees): 5.6782 7.5241 7.6363 82.18 68.17 68.53
Positions (direct):
Dy 0.0000 0.0000 0.0000
Cd 0.3057 0.2161 0.2040
Cd 0.6943 0.7839 0.7960
Cd 0.4903 0.7839 0.2040
Cd 0.5097 0.2161 0.7960
Cd 0.3601 0.6416 0.6643
Cd 0.6399 0.3584 0.3357
Cd 0.9755 0.3584 0.6643
Cd 0.0245 0.6416 0.3357
Cd 0.0000 0.5000 0.0000
Cd 0.5000 0.0000 0.5000
Cd 0.0000 0.0000 0.5000
Ni 0.5000 0.5000 0.0000

VASP energy = -1.64 eV per atom
space-group type = C2/m, No. 12

***

A geometry-optimized DyCdNi2 structure. Source: the Alexandria database, functional PBE.

Lattice parameters (Å, degrees): 3.3309 3.3309 6.2351 90.00 90.00 90.00
Positions (direct):
Ni 0.0000 0.0000 0.7292
Ni 0.0000 0.0000 0.2708
Cd 0.5000 0.5000 0.5000
Dy 0.5000 0.5000 0.0000

relative energy among the computed polymorphs = 77 meV per atom
space-group type = P4/mmm, No. 123

***

Number 1: N(E_F) 4.47 states/eV per cell. Number 2: N(E_F) 14.05 states/eV per cell. Number 3: N(E_F) 3.74 states/eV per cell. Number 4: N(E_F) 1.38 states/eV per cell. Number 5: N(E_F) 6.54 states/eV per cell. Number 6: N(E_F) 3.78 states/eV per cell.